Here is a geometry-optimized Ga3GePd6 structure from Alexandria via LeMat-Bulk. Energies are from PBE.

abc: 8.003 12.236 6.564
angles: 90.00 90.00 90.00
Space group Cmc2_1 (No. 36)
Inequivalent atoms, fractional coordinates:
Ga 0.000 0.028 0.000 (multiplicity 4)
Ga 0.177 0.382 0.868 (multiplicity 8)
Ge 0.000 0.290 0.319 (multiplicity 4)
Pd 0.000 0.231 0.687 (multiplicity 4)
Pd 0.000 0.457 0.523 (multiplicity 4)
Pd 0.182 0.199 0.060 (multiplicity 8)
Pd 0.229 0.061 0.721 (multiplicity 8)

Properties
energy = -4.99 eV per atom
E_form = -0.505 eV/atom
theoretical density = 9.5 Mg/m³